Density functional theory data (PBE+U) for CsPaNiO4 after structural relaxation.

Computed properties:
Mass density ... 6.4 g/cm3
Calculated total energy ... -6.883 eV/atom
Magnetization ... 2.03 μB/f.u.
DOS(E_F) ... 0.000 states/eV/cell

Cell lengths 6.462, 7.290, 7.179 Å; angles 119.50, 90.00, 116.31 degrees
Site moments in Bohr magnetons follow the coordinates.
Fractional coordinates of all 14 atoms:
O: 0.702 0.006 0.753  0.02
O: 0.304 0.006 0.753  0.02
O: 0.303 0.606 0.733  0.06
O: 0.303 0.606 0.373  0.06
O: 0.697 0.394 0.267  0.06
O: 0.696 0.994 0.247  0.02
O: 0.697 0.394 0.627  0.06
O: 0.298 0.994 0.247  0.02
Cs: 0.829 0.658 0.079  0.00
Cs: 0.171 0.342 0.921  0.00
Pa: 0.500 0.000 0.000  0.03
Pa: 0.500 0.000 0.500  0.03
Ni: 0.500 0.500 0.500  1.77
Ni: 0.000 0.500 0.500  1.77